A plane-wave DFT calculation with GGA-PBE was carried out for an optimized crystal structure of In2AgSe.

Space group: No. 160
Uncorrected formation energy in meV/atom: -149

Unit cell a=3.8593 b=3.8593 c=23.1176 alpha=90.00 beta=90.00 gamma=120.00
Closest atoms and distances in Å follow each position.
Atoms (fractional coordinates):
In 0.0000 0.0000 0.0000  3 Se 2.91, 3 Ag 2.99
In 0.0000 0.0000 0.1694  3 Se 2.94, 3 Ag 2.94
In 0.3333 0.6667 0.6667  3 Se 2.91, 3 Ag 2.99
In 0.3333 0.6667 0.8361  3 Se 2.94, 3 Ag 2.94
In 0.6667 0.3333 0.3333  3 Se 2.91, 3 Ag 2.99
In 0.6667 0.3333 0.5028  3 Se 2.94, 3 Ag 2.94
Ag 0.0000 0.0000 0.7528  6 In 2.94-2.99
Ag 0.3333 0.6667 0.4195  6 In 2.94-2.99
Ag 0.6667 0.3333 0.0862  6 In 2.94-2.99
Se 0.0000 0.0000 0.5857  6 In 2.91-2.94
Se 0.3333 0.6667 0.2524  6 In 2.91-2.94
Se 0.6667 0.3333 0.9190  6 In 2.91-2.94

A plane-wave DFT calculation with GGA-PBE was carried out for an optimized crystal structure of Li8Ag2Sn.

Space group: No. 12
Distance to the lowest polymorph of the same formula in eV per atom: 0.0000
Energy relative to the elements in eV per atom: -0.237

Unit cell a=7.9596 b=7.9596 c=5.2928 alpha=90.37 beta=90.37 gamma=34.35
Closest atoms and distances in Å follow each position.
Atoms (fractional coordinates):
Li 0.0478 0.0478 0.2558  5 Li 2.66-2.97, 1 Ag 2.75, 2 Sn 2.81
Li 0.1360 0.1360 0.8245  7 Li 2.66-2.89, 1 Ag 2.81
Li 0.3151 0.3151 0.9058  4 Li 2.70-2.85, 3 Ag 2.78-2.81, 1 Sn 2.85
Li 0.4068 0.4068 0.4703  6 Li 2.70-2.89, 1 Ag 2.82, 1 Sn 2.87
Li 0.5932 0.5932 0.5297  6 Li 2.70-2.89, 1 Ag 2.82, 1 Sn 2.87
Li 0.6849 0.6849 0.0942  4 Li 2.70-2.85, 3 Ag 2.78-2.81, 1 Sn 2.85
Li 0.8640 0.8640 0.1755  7 Li 2.66-2.89, 1 Ag 2.81
Li 0.9522 0.9522 0.7442  5 Li 2.66-2.97, 1 Ag 2.75, 2 Sn 2.81
Ag 0.2252 0.2252 0.3620  6 Li 2.75-2.82, 2 Ag 2.87
Ag 0.7748 0.7748 0.6380  6 Li 2.75-2.82, 2 Ag 2.87
Sn 0.5000 0.5000 0.0000  10 Li 2.81-3.13